(1)
! BaZnCd2 (PBE-GGA, optimized geometry); values from VASP
! - Formation energy from the elements: 0.07 eV/atom
&SYSTEM
  ibrav = 0, nat = 4, ntyp = 3
/
ATOMIC_SPECIES
Cd 112.41 Cd.upf
Zn 65.41 Zn.upf
Ba 137.33 Ba.upf
ATOMIC_POSITIONS crystal
Cd 0.500 0.000 0.500
Cd 0.000 0.000 0.000
Zn 0.000 0.500 0.500
Ba 0.500 0.500 0.000
CELL_PARAMETERS angstrom
-0.746 5.591 0.428
-0.463 -2.269 -6.313
-3.621 -0.093 -0.618

(2)
! Tb4ZnSb (PBE-GGA, optimized geometry); values from VASP
! - Formation energy (no corrections): -292 meV per atom
&SYSTEM
  ibrav = 0, nat = 12, ntyp = 3
/
ATOMIC_SPECIES
Zn 65.41 Zn.upf
Tb 158.93 Tb.upf
Sb 121.76 Sb.upf
ATOMIC_POSITIONS crystal
Zn 0.581 0.822 0.162
Zn 0.419 0.322 0.838
Tb 0.557 0.322 0.114
Tb 0.704 0.073 0.409
Tb 0.114 0.822 0.228
Tb 0.296 0.573 0.591
Tb 0.886 0.322 0.772
Tb 0.704 0.571 0.409
Tb 0.443 0.822 0.886
Tb 0.296 0.071 0.591
Sb 0.151 0.322 0.303
Sb 0.849 0.822 0.697
CELL_PARAMETERS angstrom
-5.069 0.931 -1.950
-2.440 -3.500 4.672
1.812 7.830 6.812